{"formula": "Ho3TmBi4", "functional": "PBE", "state": "relaxed", "cell": [[6.290, 0.000, 0.000], [0.000, 6.290, 0.000], [0.000, 0.000, 6.290]], "species": ["Ho", "Ho", "Ho", "Tm", "Bi", "Bi", "Bi", "Bi"], "frac_coords": [[0.000, 0.000, 0.500], [0.000, 0.500, 0.000], [0.500, 0.000, 0.000], [0.500, 0.500, 0.500], [0.000, 0.000, 0.000], [0.000, 0.500, 0.500], [0.500, 0.000, 0.500], [0.500, 0.500, 0.000]], "e_form_ev_per_atom": -0.83, "polymorph_energy_ev_per_atom": 0.0000, "n_ef_per_ev_cell": 0.51}

***

{"formula": "BeIr2Ru", "functional": "PBE", "state": "relaxed", "cell": [[-1.395, 2.167, 4.250], [1.395, -2.167, 4.250], [1.395, 2.167, -4.250]], "species": ["Be", "Ir", "Ir", "Ru"], "frac_coords": [[0.000, 0.000, 0.000], [0.218, 0.718, 0.500], [0.782, 0.282, 0.500], [0.500, 0.500, 0.000]], "e_form_ev_per_atom": -0.15, "n_ef_per_ev_cell": 3.80}

***

{"formula": "Ca3Sn2Bi3", "functional": "PBE", "state": "relaxed", "cell": [[6.025, 0.000, 0.000], [0.000, 13.936, 0.000], [-1.275, 0.000, 6.188]], "species": ["Ca", "Ca", "Ca", "Ca", "Ca", "Ca", "Sn", "Sn", "Sn", "Sn", "Bi", "Bi", "Bi", "Bi", "Bi", "Bi"], "frac_coords": [[0.025, 0.250, 0.279], [0.371, 0.105, 0.813], [0.371, 0.395, 0.813], [0.629, 0.605, 0.187], [0.629, 0.895, 0.187], [0.975, 0.750, 0.721], [0.453, 0.638, 0.649], [0.453, 0.862, 0.649], [0.547, 0.138, 0.351], [0.547, 0.362, 0.351], [0.095, 0.750, 0.236], [0.147, 0.504, 0.260], [0.147, 0.996, 0.260], [0.853, 0.004, 0.740], [0.853, 0.496, 0.740], [0.905, 0.250, 0.764]], "e_form_ev_per_atom": -0.41, "n_ef_per_ev_cell": 9.66}